No. 1
Density functional theory data (meta-GGA SCAN) for SrZr2W at its PBEsol-relaxed geometry.

The structure belongs to space group Cm (No. 8); the cell edges are 9.848, 2.984 and 6.557 Å and the angles 90.00°, 91.98° and 90.00°. The inequivalent atoms are Sr at (0.000, 0.000, 0.000), Zr at (0.001, 0.500, 0.528), Zr at (0.260, 0.500, 0.327) and W at (0.248, 0.000, 0.696).

The formation energy is 0.753 eV per atom. The calculation puts the polymorph energy (0 for the lowest one) at 0.456 eV per atom. The raw total energy comes out at -37.5874 eV/atom.

***

No. 2
Density functional theory data (meta-GGA SCAN) for Sr2ZrW at its PBEsol-relaxed geometry.

The structure belongs to space group C2/m (No. 12); the cell edges are 5.990, 11.049 and 2.984 Å and the angles 90.00°, 92.29° and 90.00°. The inequivalent atoms are Sr at (0.250, 0.250, 0.000), Zr at (0.000, 0.000, 0.500) and W at (0.000, 0.500, 0.500).

The formation energy is 1.229 eV per atom. The raw total energy comes out at -35.0053 eV/atom.

***

No. 3
Density functional theory data (meta-GGA SCAN) for SrZr2W at its PBEsol-relaxed geometry.

The structure belongs to space group P4/mmm (No. 123); the cell edges are 3.346, 3.346 and 9.172 Å and the angles 90.00°, 90.00° and 90.00°. The inequivalent atoms are Sr at (0.000, 0.000, 0.000), Zr at (0.500, 0.500, 0.333) and W at (0.000, 0.000, 0.500).

The formation energy is 0.297 eV per atom. The calculation puts the polymorph energy (0 for the lowest one) at 0.000 eV per atom. The raw total energy comes out at -38.0435 eV/atom.

***

No. 4
Density functional theory data (meta-GGA SCAN) for SrY2 at its PBEsol-relaxed geometry.

The structure belongs to space group Fd-3m (No. 227, origin choice 2); the cell edges are 9.680, 9.680 and 9.680 Å and the angles 90.00°, 90.00° and 90.00°. The inequivalent atoms are Sr at (0.125, 0.125, 0.125) and Y at (0.000, 0.000, 0.500).

The formation energy is 0.252 eV per atom. The calculation puts the polymorph energy (0 for the lowest one) at 0.112 eV per atom. The raw total energy comes out at -25.7353 eV/atom.

***

No. 5
Density functional theory data (meta-GGA SCAN) for SrY2 at its PBEsol-relaxed geometry.

The structure belongs to space group Immm (No. 71); the cell edges are 3.620, 5.173 and 11.252 Å and the angles 90.00°, 90.00° and 90.00°. The inequivalent atoms are Sr at (0.000, 0.000, 0.000) and Y at (0.000, 0.000, 0.324).

The formation energy is 0.244 eV per atom. The calculation puts the polymorph energy (0 for the lowest one) at 0.104 eV per atom. The raw total energy comes out at -25.7428 eV/atom.

***

No. 6
Density functional theory data (meta-GGA SCAN) for SrY2 at its PBEsol-relaxed geometry.

The structure belongs to space group P-3m1 (No. 164); the cell edges are 5.8889, 5.8889 and 3.4903 Å and the angles 90.00°, 90.00° and 120.00°. The inequivalent atoms are Sr at (0.0000, 0.0000, 0.0000) and Y at (0.3333, 0.6667, 0.2953).

The formation energy is 0.249 eV per atom. The calculation puts the polymorph energy (0 for the lowest one) at 0.109 eV per atom. The raw total energy comes out at -25.7381 eV/atom.